Entry from the Open Quantum Materials Database: an optimized crystal structure of CoPtSO (PBE with a Hubbard U).

Properties
Uncorrected energy ... -169.528 eV for the cell shown
Space-group type ... No. 61
Offset from the most stable computed form ... 234.0 meV/atom

a b c (Å): 7.075 8.929 7.553
angles (deg): 90.00 90.00 90.00
Fractional positions:
O1 0.241 0.717 0.893
O2 0.759 0.217 0.607
O3 0.741 0.783 0.107
O4 0.241 0.783 0.393
O5 0.259 0.283 0.393
O6 0.741 0.717 0.607
O7 0.259 0.217 0.893
O8 0.759 0.283 0.107
S1 0.087 0.027 0.215
S2 0.913 0.973 0.785
S3 0.587 0.473 0.785
S4 0.413 0.527 0.215
S5 0.413 0.973 0.715
S6 0.587 0.027 0.285
S7 0.913 0.527 0.285
S8 0.087 0.473 0.715
Pt1 0.510 0.217 0.758
Pt2 0.010 0.217 0.742
Pt3 0.510 0.283 0.258
Pt4 0.010 0.283 0.242
Pt5 0.490 0.783 0.242
Pt6 0.490 0.717 0.742
Pt7 0.990 0.783 0.258
Pt8 0.990 0.717 0.758
Co1 0.765 0.583 0.011
Co2 0.235 0.083 0.489
Co3 0.735 0.417 0.511
Co4 0.265 0.917 0.989
Co5 0.265 0.583 0.489
Co6 0.235 0.417 0.989
Co7 0.735 0.083 0.011
Co8 0.765 0.917 0.511